! In2PS2 (PBE, relaxed); values from VASP
! raw formation energy = 0.17 eV/atom
! energy above the lowest structure with this stoichiometry = 0 meV per atom
&SYSTEM
  ibrav = 0, nat = 10, ntyp = 3
/
ATOMIC_SPECIES
In 114.82 In.upf
S 32.06 S.upf
P 30.97 P.upf
ATOMIC_POSITIONS angstrom
In -0.843 -5.414 -5.904
S 0.599 -3.249 -0.896
In 1.406 -2.163 -6.239
In 0.429 -1.105 -2.543
P -0.207 -3.260 -4.223
In -1.821 -4.356 -2.207
S 2.902 -1.844 -4.004
S 1.821 -5.100 -6.277
P 0.000 0.000 0.000
S -0.482 -6.505 -3.169
CELL_PARAMETERS angstrom
-3.501 -6.506 -1.556
3.087 -0.013 -6.890
2.834 -1.830 1.273

***

! AlCdAs2 (PBE, relaxed); values from VASP
! DFT formation energy = 0.008 eV/atom
! energy above the lowest structure with this stoichiometry = 146 meV per atom
&SYSTEM
  ibrav = 0, nat = 4, ntyp = 3
/
ATOMIC_SPECIES
As 74.92 As.upf
Cd 112.41 Cd.upf
Al 26.98 Al.upf
ATOMIC_POSITIONS angstrom
As 3.859 1.072 1.097
Cd 6.408 1.779 0.855
Al 9.871 2.741 2.479
As 1.075 0.298 3.332
CELL_PARAMETERS angstrom
7.211 0.328 -0.655
6.348 3.437 -0.655
0.349 0.097 3.891

***

! Sc2NiPd (PBE, relaxed); values from VASP
! DFT formation energy = 0.011 eV/atom
&SYSTEM
  ibrav = 0, nat = 4, ntyp = 3
/
ATOMIC_SPECIES
Ni 58.69 Ni.upf
Pd 106.42 Pd.upf
Sc 44.96 Sc.upf
ATOMIC_POSITIONS angstrom
Ni 0.000 0.000 0.000
Pd 0.000 0.000 13.771
Sc 0.000 0.000 2.376
Sc 0.000 0.000 25.166
CELL_PARAMETERS angstrom
1.751 0.000 9.181
-0.875 1.516 9.181
-0.875 -1.516 9.181

***

| no. | total magnetic moment (μB/f.u.) |
| --- | --- |
| 1 | 0.00 |
| 2 | 0.00 |
| 3 | 0.00 |